# HfMn2GaO6

HfMn2GaO6 after structural relaxation (PBE with a Hubbard U, Alexandria).

The structure in POSCAR format:
```
HfMn2GaO6
1.0
5.1771 -0.0798 -0.0703
2.5206 4.6123 0.0738
2.5012 1.6253 4.7623
O Mn Hf Ga
6 2 1 1
direct
0.7472 0.0952 0.7491 O
0.1992 0.9544 0.2343 O
0.1059 0.4113 0.7626 O
0.5847 0.1955 0.2678 O
0.4333 0.6901 0.7689 O
0.9430 0.6212 0.2361 O
0.5235 0.5276 0.4147 Mn
0.0189 0.0179 0.9510 Mn
0.8055 0.8156 0.5686 Hf
0.3004 0.3329 0.0622 Ga
```

Electronic total energy ... -7.968 eV/atom
Crystal system ... triclinic